PBE Fe4CoP, optimized geometry; crystal system = cubic; E_tot = -7.410 eV/atom
1.0
-2.035 -3.165 -2.759
-3.726 -2.365 1.516
-4.209 0.857 -1.824
Fe Co P
4 1 1
direct
0.875 0.375 0.375
0.375 0.375 0.875
0.375 0.875 0.375
0.375 0.375 0.375
0.000 0.000 0.000
0.750 0.750 0.750

=====

PBE LiMnCuI5, optimized geometry; crystal system = monoclinic; E_tot = -3.298 eV/atom
1.0
7.272 0.167 -0.976
-1.963 7.004 -0.976
-3.200 -4.323 12.827
Li Mn Cu I
2 2 2 10
direct
0.000 0.000 0.500
0.000 0.000 0.000
0.380 0.620 0.250
0.620 0.380 0.750
0.697 0.303 0.250
0.303 0.697 0.750
0.152 0.848 0.250
0.848 0.152 0.750
0.035 0.310 0.219
0.965 0.690 0.781
0.690 0.965 0.281
0.310 0.035 0.719
0.694 0.597 0.426
0.306 0.403 0.574
0.403 0.306 0.074
0.597 0.694 0.926

=====

PBE CePrDy3Er, optimized geometry; crystal system = orthorhombic; E_tot = -4.695 eV/atom
1.0
5.881 0.000 0.000
-2.941 5.603 0.000
0.000 0.000 11.752
Ce Pr Dy Er
2 2 6 2
direct
0.499 0.997 0.750
0.501 0.003 0.250
0.000 0.000 0.500
0.000 0.000 0.000
0.671 0.341 0.502
0.329 0.659 0.498
0.329 0.659 0.002
0.671 0.341 0.998
0.174 0.348 0.750
0.826 0.652 0.250
0.828 0.657 0.750
0.172 0.343 0.250

=====

PBE RbReP3, optimized geometry; crystal system = cubic; ΔE to the lowest computed polymorph = 2.954 eV/atom
1.0
4.888 0.000 0.000
0.000 4.888 0.000
0.000 0.000 4.888
Re Rb P
1 1 3
direct
0.500 0.500 0.500
0.000 0.000 0.000
0.000 0.500 0.000
0.000 0.000 0.500
0.500 0.000 0.000

=====

PBE LiCl5, optimized geometry; crystal system = tetragonal; ΔE to the lowest computed polymorph = 0.594 eV/atom
1.0
3.510 0.000 0.000
0.000 3.510 0.000
0.000 0.000 11.632
Li Cl
1 5
direct
0.500 0.500 0.000
0.000 0.000 0.891
0.000 0.000 0.109
0.500 0.500 0.650
0.500 0.500 0.350
0.000 0.000 0.500

=====

PBE Pm3InFe3, optimized geometry; crystal system = hexagonal; E_tot = -6.116 eV/atom
1.0
-0.962 -2.340 -3.038
2.632 -7.923 5.269
-9.289 3.321 0.385
Pm In Fe
6 2 6
direct
0.750 0.383 0.320
0.750 0.937 0.617
0.750 0.680 0.063
0.250 0.617 0.680
0.250 0.063 0.383
0.250 0.320 0.937
0.750 0.333 0.667
0.250 0.667 0.333
0.750 0.018 0.150
0.750 0.132 0.982
0.750 0.850 0.868
0.250 0.982 0.850
0.250 0.868 0.018
0.250 0.150 0.132

=====

PBE Gd2NiPd, optimized geometry; crystal system = trigonal; E_tot = -9.797 eV/atom
1.0
3.621 0.000 0.000
1.811 3.136 0.000
1.811 1.045 8.774
Ni Gd Pd
1 2 1
direct
0.500 0.500 0.500
0.101 0.101 0.697
0.899 0.899 0.303
0.000 0.000 0.000

=====

PBE RbNi3Pd, optimized geometry; crystal system = cubic; ΔE to the lowest computed polymorph = 1.157 eV/atom
1.0
4.517 0.000 0.000
0.000 4.517 0.000
0.000 0.000 4.517
Ni Rb Pd
3 1 1
direct
0.000 0.500 0.000
0.000 0.000 0.500
0.500 0.000 0.000
0.000 0.000 0.000
0.500 0.500 0.500

=====

PBE Zr2NbCdHg, optimized geometry; crystal system = tetragonal; ΔE to the lowest computed polymorph = 0.427 eV/atom
1.0
-2.638 -3.589 -2.807
4.421 -1.869 -1.766
0.213 -3.337 4.066
Nb Hg Zr Cd
1 1 2 1
direct
0.000 0.500 0.000
0.000 0.000 0.000
0.000 0.000 0.500
0.500 0.000 0.000
0.500 0.500 0.500

=====

PBE LiCe2Au3, optimized geometry; crystal system = orthorhombic; ΔE to the lowest computed polymorph = 0.093 eV/atom
1.0
4.271 0.000 0.000
0.000 6.700 0.000
-2.135 0.000 10.152
Li Ce Au
2 4 6
direct
0.341 0.750 0.681
0.659 0.250 0.319
0.169 0.750 0.339
0.831 0.250 0.661
0.969 0.750 0.939
0.031 0.250 0.061
0.427 0.457 0.854
0.573 0.543 0.146
0.427 0.043 0.854
0.573 0.957 0.146
0.777 0.750 0.553
0.223 0.250 0.447

=====

PBE Ac2Sn6Au3, optimized geometry; crystal system = hexagonal; E_tot = -4.259 eV/atom
1.0
4.934 0.000 0.000
0.000 8.475 0.000
0.000 -4.237 7.339
Ac Sn Au
2 6 3
direct
0.000 0.667 0.333
0.000 0.333 0.667
0.500 0.686 0.686
0.500 0.000 0.314
0.000 0.207 0.207
0.000 0.793 0.000
0.500 0.314 0.000
0.000 0.000 0.793
0.500 0.368 0.368
0.500 0.632 0.000
0.500 0.000 0.632

=====

PBE PaTcN2, optimized geometry; crystal system = trigonal; ΔE to the lowest computed polymorph = 0.000 eV/atom
1.0
3.507 0.000 0.000
1.754 3.037 0.000
1.754 1.012 4.550
Pa Tc N
1 1 2
direct
0.000 0.000 0.000
0.500 0.500 0.500
0.239 0.239 0.282
0.761 0.761 0.718